Record 1
Mn3Mo, relaxed, DFT PBE-GGA; electronic total energy = -9.467 eV/atom; V = 12.7 Å³ per atom
1.0
2.6020 0.0001 0.0000
-0.2473 2.5903 0.0000
0.0000 0.0000 7.5400
Mn Mo
3 1
Direct
0.5000 0.5000 0.7500
0.0000 0.0000 0.9744
0.0000 0.0000 0.5256
0.5000 0.5000 0.2500


Record 2
PmCl2F, relaxed, DFT PBE-GGA; electronic total energy = -5.471 eV/atom; formation energy (no corrections) = -11.57 eV per formula unit; energy above the lowest structure with this stoichiometry = 0 meV/atom; V = 25.0 Å³ per atom
1.0
3.9629 0.0018 0.8987
1.8780 3.4897 0.8987
0.3477 0.2079 7.3475
F Pm Cl
1 1 2
Direct
0.7917 0.7917 0.6250
0.4583 0.4583 0.6250
0.0434 0.0434 0.8782
0.2066 0.2066 0.3718


Record 3
Nd2CuSb4Pt3, relaxed, DFT PBE-GGA; electronic total energy = -5.554 eV/atom; formation energy (no corrections) = -7.30 eV per formula unit; V = 22.8 Å³ per atom
1.0
-4.4716 0.9246 -0.3759
0.2932 -0.4324 -4.5518
-2.2617 -10.5885 0.8603
Sb Cu Pt Nd
4 1 3 2
Direct
0.0000 0.5000 0.3736
0.5000 0.0000 0.6264
0.0000 0.0000 0.0000
0.5000 0.5000 0.0000
0.5000 0.5000 0.5000
0.0000 0.5000 0.1340
0.5000 0.0000 0.8660
0.0000 0.0000 0.5000
0.0000 0.5000 0.7333
0.5000 0.0000 0.2667